{"formula": "La2ZrIF", "functional": "GGA-PBEsol", "state": "relaxed", "density_g_cm3": 4.67, "dos_ef_per_ev_fu": 7.67, "dft_energy_ev_per_atom": -4.55, "magmom_total_mub_per_cell": 0.00, "raw_formation_energy_mev_per_atom": 147, "lattice_angstrom": [[5.1150, 0.0000, 0.0000], [0.0000, 5.9819, 0.0000], [0.0000, 0.0000, 5.9819]], "species": ["La", "F", "La", "I", "Zr"], "fractional_positions": [[0.0000, 0.0000, 0.5000], [0.5000, 0.5000, 0.5000], [0.0000, 0.5000, 0.0000], [0.0000, 0.0000, 0.0000], [0.5000, 0.0000, 0.0000]]}